# TlIn2Sb, optimized geometry, DFT PBE
# final energy = -23.6 eV for the cell shown
# formation energy from raw total energies = 1.0 kcal/mol of atoms
data_TlIn2Sb
_space_group_name_H-M_alt 'C m m m'
_space_group_IT_number 65
_space_group_name_Hall '-C 2 2'
_cell_length_a 4.176
_cell_length_b 5.230
_cell_length_c 10.442
_cell_angle_alpha 90.00
_cell_angle_beta 90.00
_cell_angle_gamma 90.00
loop_
_atom_site_label
_atom_site_type_symbol
_atom_site_fract_x
_atom_site_fract_y
_atom_site_fract_z
Tl1 Tl 0.000 0.000 0.000
In1 In 0.000 0.500 0.259
Sb1 Sb 0.000 0.000 0.500

***

# HgTeRu3, optimized geometry, DFT PBE
# final energy = -24.3 eV for the cell shown
# formation energy from raw total energies = 32.3 kcal/mol of atoms
data_HgTeRu3
_space_group_name_H-M_alt 'P m -3 m'
_space_group_IT_number 221
_space_group_name_Hall '-P 4 2 3'
_cell_length_a 4.819
_cell_length_b 4.819
_cell_length_c 4.819
_cell_angle_alpha 90.00
_cell_angle_beta 90.00
_cell_angle_gamma 90.00
loop_
_atom_site_label
_atom_site_type_symbol
_atom_site_fract_x
_atom_site_fract_y
_atom_site_fract_z
Hg1 Hg 0.000 0.000 0.000
Te1 Te 0.500 0.500 0.500
Ru1 Ru 0.000 0.500 0.500

***

# Ca2BeSb, optimized geometry, DFT PBE
# final energy = -12.7 eV for the cell shown
# formation energy from raw total energies = -4.8 kcal/mol of atoms
data_Ca2BeSb
_space_group_name_H-M_alt 'P m m m'
_space_group_IT_number 47
_space_group_name_Hall '-P 2 2'
_cell_length_a 3.421
_cell_length_b 4.158
_cell_length_c 7.074
_cell_angle_alpha 90.00
_cell_angle_beta 90.00
_cell_angle_gamma 90.00
loop_
_atom_site_label
_atom_site_type_symbol
_atom_site_fract_x
_atom_site_fract_y
_atom_site_fract_z
Ca1 Ca 0.000 0.000 0.234
Be1 Be 0.500 0.500 0.000
Sb1 Sb 0.500 0.500 0.500

***

# In2TeN, optimized geometry, DFT PBE
# final energy = -66.0 eV for the cell shown
# formation energy from raw total energies = 2.6 kcal/mol of atoms
data_In2TeN
_space_group_name_H-M_alt 'I -4 2 d'
_space_group_IT_number 122
_space_group_name_Hall 'I -4 2bw'
_cell_length_a 6.041
_cell_length_b 6.041
_cell_length_c 11.292
_cell_angle_alpha 90.00
_cell_angle_beta 90.00
_cell_angle_gamma 90.00
loop_
_atom_site_label
_atom_site_type_symbol
_atom_site_fract_x
_atom_site_fract_y
_atom_site_fract_z
In1 In 0.147 0.250 0.125
Te1 Te 0.000 0.000 0.500
N1 N 0.000 0.000 0.000

***

# SmErPu2P4, optimized geometry, DFT PBE
# final energy = -70.5 eV for the cell shown
# formation energy from the elements = -1.37 eV per atom
data_SmErPu2P4
_space_group_name_H-M_alt 'P 1 2/m 1'
_space_group_IT_number 10
_space_group_name_Hall '-P 2y'
_cell_length_a 6.914
_cell_length_b 4.025
_cell_length_c 6.971
_cell_angle_alpha 90.00
_cell_angle_beta 109.64
_cell_angle_gamma 90.00
loop_
_atom_site_label
_atom_site_type_symbol
_atom_site_fract_x
_atom_site_fract_y
_atom_site_fract_z
Sm1 Sm 0.000 0.000 0.000
Er1 Er 0.000 0.500 0.500
Pu1 Pu 0.500 0.000 0.500
Pu2 Pu 0.500 0.500 0.000
P1 P 0.256 0.000 0.748
P2 P 0.259 0.500 0.258

***

# Th2MgGa4Pd3, optimized geometry, DFT PBE
# final energy = -51.0 eV for the cell shown
# formation energy from the elements = -0.68 eV per atom
data_Th2MgGa4Pd3
_space_group_name_H-M_alt 'P -4 m 2'
_space_group_IT_number 115
_space_group_name_Hall 'P -4 -2'
_cell_length_a 4.203
_cell_length_b 4.203
_cell_length_c 11.278
_cell_angle_alpha 90.00
_cell_angle_beta 90.00
_cell_angle_gamma 90.00
loop_
_atom_site_label
_atom_site_type_symbol
_atom_site_fract_x
_atom_site_fract_y
_atom_site_fract_z
Th1 Th 0.000 0.500 0.234
Mg1 Mg 0.000 0.000 0.500
Ga1 Ga 0.000 0.000 0.000
Ga2 Ga 0.000 0.500 0.646
Ga3 Ga 0.500 0.500 0.000
Pd1 Pd 0.000 0.500 0.866
Pd2 Pd 0.500 0.500 0.500

***

Question: Which of these has the lowest final energy?
Answer: SmErPu2P4

***

Question: Which value of final energy does entry 5 give?
Answer: -70.5 eV for the cell shown

***

Question: Which value of final energy does entry 3 give?
Answer: -12.7 eV for the cell shown

***

Question: What is the final energy in the first record?
Answer: -23.6 eV for the cell shown